ZrCrOs after structural relaxation, computed with PBE.

Structure (POSCAR):
```
ZrCrOs
1.0
6.216 0.000 0.000
0.000 6.216 0.000
0.000 0.000 6.216
Zr Cr Os
4 4 4
direct
0.000 0.000 0.000 Zr
0.000 0.500 0.500 Zr
0.500 0.000 0.500 Zr
0.500 0.500 0.000 Zr
0.250 0.250 0.750 Cr
0.250 0.750 0.250 Cr
0.750 0.250 0.250 Cr
0.750 0.750 0.750 Cr
0.250 0.250 0.250 Os
0.250 0.750 0.750 Os
0.750 0.250 0.750 Os
0.750 0.750 0.250 Os
```

Offset from the most stable computed form = 1.2075 eV/atom
DFT formation energy = 0.8984 eV per atom
Density of states at the Fermi level = 7.909 states/eV/cell